## Y2Zn5Rh4 (GGA-PBE)

Data for a geometry-optimized Y2Zn5Rh4 structure.

Computed properties:
DFT total energy	-4.90	eV per atom
mass density	7.746	Mg/m³
N(E_F)	41.30	states/eV/cell
spin magnetization	0.00	μB per atom
energy of formation	-0.47	eV per atom

Unit cell a=5.2955 b=9.0748 c=16.3537 alpha=90.00 beta=90.00 gamma=90.00
Space group Fmmm (No. 69)
One atom of each set of equivalent atoms:
Y (0.0000, 0.0000, 0.1445) x8
Zn (0.0000, 0.0000, 0.5000) x4
Zn (0.2500, 0.2500, 0.0000) x8
Zn (0.2500, 0.2500, 0.2500) x8
Rh (0.0000, 0.1599, 0.3727) x16